(1)
An optimized crystal structure of Nb2Te4Cl10O. Source: Alexandria, functional PBEsol.

The structure in POSCAR format:
```
Nb2Te4Cl10O
1.0
6.682 0.000 0.000
2.314 8.065 0.000
0.325 1.325 8.832
Nb Te Cl O
2 4 10 1
Cartesian
0.455 1.379 1.228 Nb
8.867 8.012 7.604 Nb
3.566 5.352 2.980 Te
3.619 3.102 4.484 Te
5.703 6.288 4.348 Te
5.755 4.038 5.852 Te
1.073 3.157 2.825 Cl
1.048 1.057 5.865 Cl
2.118 3.713 8.446 Cl
4.081 6.782 8.151 Cl
4.724 8.189 1.958 Cl
4.597 1.201 6.874 Cl
5.240 2.608 0.681 Cl
7.203 5.677 0.385 Cl
8.274 8.334 2.967 Cl
8.249 6.233 6.007 Cl
0.000 0.000 0.000 O
```

Properties
Energy relative to the elements, uncorrected = -0.96 eV/atom
Space-group type = P-1, No. 2
Electronic total energy = -4.56 eV per atom

=====

(2)
An optimized crystal structure of CoSi2Pb. Source: Alexandria, functional PBEsol.

The structure in POSCAR format:
```
CoSi2Pb
1.0
3.524 0.000 0.000
0.000 1.750 5.616
0.000 -1.750 5.616
Co Si Pb
1 2 1
Cartesian
0.000 0.000 0.000 Co
0.000 0.000 4.137 Si
1.762 0.000 9.800 Si
1.762 0.000 6.992 Pb
```

Properties
Energy relative to the elements, uncorrected = 0.10 eV/atom
Space-group type = Amm2, No. 38
Electronic total energy = -5.71 eV per atom
DOS at the Fermi energy = 2.4 states/eV per cell

=====

(3)
An optimized crystal structure of TaIrNF2. Source: Alexandria, functional PBEsol.

The structure in POSCAR format:
```
TaIrNF2
1.0
4.330 0.000 0.000
0.000 4.330 0.000
0.000 0.000 3.681
Ta Ir N F
1 1 1 2
Cartesian
0.000 0.000 0.000 Ta
2.165 2.165 1.841 Ir
2.165 2.165 0.000 N
0.000 2.165 1.841 F
2.165 0.000 1.841 F
```

Properties
Energy relative to the elements, uncorrected = 0.58 eV/atom
Space-group type = P4/mmm, No. 123
Electronic total energy = -6.37 eV per atom
DOS at the Fermi energy = 4.4 states/eV per cell

=====

(4)
An optimized crystal structure of IrPtCl2. Source: Alexandria, functional PBEsol.

The structure in POSCAR format:
```
IrPtCl2
1.0
3.324 -1.469 0.000
3.324 1.469 0.000
-1.201 0.000 7.634
Ir Pt Cl
1 1 2
Cartesian
0.000 0.000 0.000 Ir
0.777 0.000 6.014 Pt
2.768 0.000 4.471 Cl
4.698 0.000 1.391 Cl
```

Properties
Energy relative to the elements, uncorrected = 0.03 eV/atom
Space-group type = Cm, No. 8
Electronic total energy = -5.17 eV per atom
DOS at the Fermi energy = 2.6 states/eV per cell